1.
The following is a PBE+U calculation of an optimized crystal structure of K2MnH8S2O12, from Alexandria via LeMat-Bulk.

```
50
Lattice="7.782 0.028 0.056 1.684 7.564 -0.033 0.770 0.488 10.020" Properties=species:S:1:pos:R:3 pbc="T T T"
K 1.850 4.501 2.608
K 4.692 0.898 2.366
K 8.389 3.559 7.416
K 5.544 7.161 7.658
Mn 2.456 8.041 9.980
Mn 5.120 4.028 5.013
H 9.179 7.662 7.285
H 1.059 0.395 2.744
H 9.063 7.380 2.859
H 1.175 0.679 7.168
H 2.973 5.368 6.095
H 5.957 1.654 6.184
H 7.266 2.692 3.927
H 4.283 6.403 3.842
H 3.624 4.582 7.309
H 5.339 2.508 7.360
H 6.613 3.477 2.714
H 4.900 5.549 2.666
H 3.581 5.411 9.565
H 6.295 2.297 9.665
H 6.657 2.648 0.459
H 3.944 5.760 0.360
S 7.917 6.288 5.278
S 2.321 1.773 4.747
S 3.531 2.739 9.538
S 6.707 5.321 0.487
O 3.108 3.977 8.788
O 4.775 2.179 8.892
O 7.131 4.082 1.234
O 5.463 5.880 1.133
O 3.033 2.585 0.924
O 7.206 5.477 9.100
O 9.961 7.940 7.835
O 0.279 0.117 2.193
O 7.782 6.340 0.624
O 2.456 1.720 9.402
O 3.824 6.305 9.934
O 6.415 1.753 0.091
O 3.481 2.636 4.350
O 6.758 5.423 5.674
O 3.849 5.073 6.467
O 5.838 2.593 6.494
O 6.389 2.986 3.556
O 4.402 5.464 3.532
O 9.182 5.543 5.500
O 7.886 7.509 6.156
O 1.057 2.518 4.522
O 2.352 0.550 3.872
O 7.801 6.675 3.847
O 2.435 1.388 6.179
```

Summary:
VASP energy   -279.83 eV for the cell shown
Size of the total moment   5.00 μB per formula unit
ρ   2.240 g/cm³

2.
The following is a PBE+U calculation of an optimized crystal structure of K2MnH4Se2O10, from Alexandria via LeMat-Bulk.

```
19
Lattice="-1.001 -5.601 2.212 2.921 -1.461 6.679 -5.832 0.184 6.354" Properties=species:S:1:pos:R:3 pbc="T T T"
H -0.075 -2.066 6.948
H -3.836 -4.812 8.296
H -1.150 -1.728 5.834
H -2.761 -5.150 9.411
K -1.346 -2.616 9.468
K -2.566 -4.262 5.776
Mn 0.000 0.000 0.000
Se -0.723 -2.317 2.889
Se -3.188 -4.561 12.355
O -2.898 -4.658 8.567
O -1.013 -2.220 6.678
O -1.642 -1.512 4.044
O -2.270 -5.366 11.200
O -1.063 -3.999 3.317
O -2.849 -2.879 11.927
O 1.545 -1.978 7.822
O -5.457 -4.900 7.422
O 1.122 -3.720 8.130
O -5.034 -3.158 7.114
```

Summary:
VASP energy   -97.83 eV for the cell shown
Size of the total moment   3.00 μB per formula unit
ρ   2.399 g/cm³

3.
The following is a PBE+U calculation of an optimized crystal structure of K2MnH4Se2O10, from Alexandria via LeMat-Bulk.

```
19
Lattice="5.821 0.705 -0.111 3.016 8.431 -0.747 1.758 2.563 6.482" Properties=species:S:1:pos:R:3 pbc="T T T"
K 4.727 7.900 3.027
K 5.867 3.799 2.597
Mn 0.000 0.000 0.000
H 4.070 6.010 0.515
H 6.524 5.690 5.110
H 3.463 4.911 1.466
H 7.131 6.789 4.158
Se 2.851 2.156 0.470
Se 7.743 9.543 5.154
O 6.507 6.015 4.179
O 4.087 5.685 1.445
O 2.638 3.370 1.603
O 7.957 8.329 4.021
O 4.632 2.219 0.255
O 5.962 9.481 5.369
O 1.006 0.796 1.344
O 9.589 10.903 4.281
O 5.844 9.061 0.666
O 4.750 2.638 4.958
```

Summary:
VASP energy   -97.90 eV for the cell shown
Size of the total moment   3.00 μB per formula unit
ρ   2.396 g/cm³

4.
The following is a PBE+U calculation of an optimized crystal structure of K2Mn3V2H2O10, from Alexandria via LeMat-Bulk.

```
19
Lattice="5.471 0.000 0.006 0.000 6.268 0.000 -2.005 -3.134 7.389" Properties=species:S:1:pos:R:3 pbc="T T T"
K 0.061 3.134 3.898
K 3.405 0.000 3.496
Mn 0.000 4.620 0.000
Mn 0.000 1.648 0.000
Mn 2.735 0.000 0.003
V 2.744 3.134 1.785
V 0.722 0.000 5.609
H 0.837 0.000 2.060
H 2.629 3.134 5.334
O 0.891 0.000 1.074
O 2.574 3.134 6.320
O 1.048 3.134 1.253
O 2.418 0.000 6.142
O 0.694 0.000 3.893
O 2.772 3.134 3.502
O 3.598 1.678 1.253
O 3.598 4.590 1.253
O -0.133 1.456 6.142
O -0.133 -1.456 6.142
```

Summary:
VASP energy   -129.74 eV for the cell shown
Size of the total moment   15.00 μB per formula unit
ρ   3.321 g/cm³

> What is the formula in the third record?

K2MnH4Se2O10